# 1
Ni3AgN PBE relaxed; SG = Pmmm; polymorph energy (0 for the lowest one) = 88 meV per atom; M_tot = 0.00 μB/cell
1.0
2.842 0.000 0.000
0.000 3.724 0.000
0.000 0.000 5.415
Ni Ag N
3 1 1
Direct
0.000 0.000 0.000 Ni
0.500 0.500 0.237 Ni
0.500 0.500 0.763 Ni
0.000 0.000 0.500 Ag
0.000 0.500 0.000 N

# 2
Ni3AgN PBE relaxed; SG = P6_3/mmc; polymorph energy (0 for the lowest one) = 592 meV per atom; M_tot = 3.14 μB/cell
1.0
4.241 0.000 0.000
-2.121 3.673 0.000
0.000 0.000 7.410
Ni Ag N
6 2 2
Direct
0.000 0.000 0.250 Ni
0.000 0.000 0.750 Ni
0.333 0.667 0.086 Ni
0.333 0.667 0.414 Ni
0.667 0.333 0.586 Ni
0.667 0.333 0.914 Ni
0.333 0.667 0.750 Ag
0.667 0.333 0.250 Ag
0.000 0.000 0.000 N
0.000 0.000 0.500 N

# 3
Ni3AgN PBE relaxed; SG = P2_1/c; polymorph energy (0 for the lowest one) = 121 meV per atom; M_tot = 0.00 μB/cell
1.0
6.964 0.000 0.000
0.000 4.839 0.000
-1.523 0.000 6.819
Ni Ag N
12 4 4
Direct
0.059 0.082 0.181 Ni
0.059 0.418 0.681 Ni
0.175 0.582 0.058 Ni
0.175 0.918 0.558 Ni
0.309 0.085 0.930 Ni
0.309 0.415 0.430 Ni
0.691 0.585 0.570 Ni
0.691 0.915 0.070 Ni
0.825 0.082 0.442 Ni
0.825 0.418 0.942 Ni
0.941 0.582 0.319 Ni
0.941 0.918 0.819 Ni
0.433 0.602 0.810 Ag
0.433 0.898 0.310 Ag
0.567 0.102 0.690 Ag
0.567 0.398 0.190 Ag
0.076 0.250 0.431 N
0.076 0.250 0.931 N
0.924 0.750 0.069 N
0.924 0.750 0.569 N

# 4
NiAgN3 PBE relaxed; SG = Pm-3m; M_tot = 0.09 μB/cell
1.0
3.982 0.000 0.000
0.000 3.982 0.000
0.000 0.000 3.982
Ni Ag N
1 1 3
Direct
0.000 0.000 0.000 Ni
0.500 0.500 0.500 Ag
0.000 0.500 0.500 N
0.500 0.000 0.500 N
0.500 0.500 0.000 N

Respective energy relative to the elements, uncorrected values: 0.116, 0.620, 0.149, 2.885 eV per atom.